Ca2Hg13 (GGA-PBE, optimized geometry); V = 418.1 Å³/cell; excess energy over the best structure of this formula in the dataset = 0 meV per atom; space group = R-3m; total magnetic moment = 0.00 μB per cell; energy of formation = -0.15 eV/atom
1.0
7.427 0.000 3.730
2.777 6.888 3.730
0.399 0.269 8.464
Hg Ca
13 2
direct
0.648 0.648 0.673 Hg
0.192 0.192 0.792 Hg
0.808 0.808 0.208 Hg
0.970 0.352 0.327 Hg
0.648 0.030 0.673 Hg
0.824 0.192 0.792 Hg
0.030 0.648 0.673 Hg
0.192 0.824 0.792 Hg
0.352 0.352 0.327 Hg
0.808 0.176 0.208 Hg
0.500 0.500 0.500 Hg
0.352 0.970 0.327 Hg
0.176 0.808 0.208 Hg
0.350 0.350 0.951 Ca
0.650 0.650 0.049 Ca